(1)
CeTmPb | PBE | optimized geometry

Geometry as POSCAR:
```
CeTmPb
1.0
5.028 0.000 0.000
-2.514 4.553 -0.260
0.000 -1.705 8.810
Ce Tm Pb
2 2 2
Cartesian
2.514 3.515 0.610
0.000 -0.667 7.940
0.000 2.271 5.396
2.514 0.577 3.154
2.514 0.749 6.290
0.000 2.099 2.261
```

## Properties
E, eV/cell: -28.91
DFT formation energy, eV/atom: -0.114

***

(2)
TiCuRu | PBE | optimized geometry

Geometry as POSCAR:
```
TiCuRu
1.0
4.392 0.000 0.000
0.000 5.086 0.000
0.000 0.000 7.592
Cu Ti Ru
4 4 4
Cartesian
2.196 1.271 5.695
0.000 3.814 1.898
2.196 3.814 5.695
0.000 1.271 1.898
0.000 2.543 4.440
0.000 0.000 6.949
2.196 0.000 3.153
2.196 2.543 0.644
0.000 0.000 4.414
0.000 2.543 6.975
2.196 0.000 0.618
2.196 2.543 3.179
```

## Properties
E, eV/cell: -87.65
DFT formation energy, eV/atom: -0.215

***

(3)
Tb4ZnGa3 | PBE | optimized geometry

Geometry as POSCAR:
```
Tb4ZnGa3
1.0
-4.913 1.216 -0.457
-1.702 -5.111 4.702
0.946 6.678 7.602
Zn Tb Ga
2 8 6
Cartesian
-0.851 -2.556 2.351
-0.378 0.783 6.152
-3.731 -3.220 3.293
-3.258 0.119 7.094
-2.884 -0.676 0.952
-2.411 2.663 4.753
-5.478 2.397 8.766
-1.038 -2.158 5.421
-0.191 0.386 3.081
-4.630 4.941 6.426
0.000 0.000 0.000
0.473 3.339 3.801
-1.746 5.616 5.473
-2.220 2.278 1.672
-2.598 3.061 7.824
-3.071 -0.278 4.023
```

## Properties
E, eV/cell: -66.34
Polymorph energy (0 for the lowest one), meV per atom: 0.0
DFT formation energy, eV/atom: -0.537

***

(4)
Hf2AlRu | PBE | optimized geometry

Geometry as POSCAR:
```
Hf2AlRu
1.0
-7.170 -1.239 -2.033
1.395 -7.414 -0.401
-3.601 -4.606 1.473
Ru Hf Al
2 4 2
Cartesian
0.000 0.000 0.000
-6.830 -5.086 -0.888
-5.536 -2.910 -1.046
-0.596 -5.883 -0.043
-4.931 -6.359 0.210
-7.690 -11.367 -1.043
-2.888 -4.327 -1.217
-2.547 -8.174 -0.072
```

## Properties
E, eV/cell: -65.45
DFT formation energy, eV/atom: 0.051

***

(5)
Th3B9C2 | PBE | optimized geometry

Geometry as POSCAR:
```
Th3B9C2
1.0
-1.451 -1.628 2.395
-4.525 -4.666 -3.723
4.108 -6.249 0.431
Th B C
3 9 2
Cartesian
0.000 0.000 0.000
-1.119 -4.608 0.570
-0.749 -7.935 -1.468
-0.209 -5.457 -1.646
1.454 -5.490 1.529
-3.322 -7.053 -2.427
-3.599 -4.564 -0.902
1.731 -7.980 0.004
-3.568 -8.652 -1.473
1.700 -3.891 0.575
0.685 -9.432 0.574
-2.553 -3.111 -1.471
1.470 -6.712 0.708
-3.338 -5.831 -1.605
```

## Properties
E, eV/cell: -96.97
DFT formation energy, eV/atom: 0.274

***

(6)
CrSnTe2N | PBE | optimized geometry

Geometry as POSCAR:
```
CrSnTe2N
1.0
-4.377 2.637 -2.630
-3.615 -3.985 2.021
-0.609 2.170 3.189
Cr Te Sn N
1 2 1 1
Cartesian
-4.300 0.411 1.290
-1.808 -1.992 1.010
-2.188 1.319 -1.315
0.000 0.000 0.000
-0.305 1.085 1.595
```

## Properties
E, eV/cell: -21.19
Polymorph energy (0 for the lowest one), meV per atom: 1337.3
Raw formation energy, eV per atom: 1.410

***

(7)
CrAgI4 | PBE | optimized geometry

Geometry as POSCAR:
```
CrAgI4
1.0
4.086 0.000 0.000
0.000 6.974 -0.459
0.000 0.220 7.618
Cr Ag I
1 1 4
Cartesian
2.043 0.110 3.809
0.000 0.000 0.000
0.000 1.733 4.768
2.043 5.619 5.681
2.043 1.575 1.478
0.000 5.461 2.392
```

## Properties
E, eV/cell: -20.46
Raw formation energy, eV per atom: -0.297

***

(8)
MgPb2Au2 | PBE | optimized geometry

Geometry as POSCAR:
```
MgPb2Au2
1.0
3.867 0.000 0.000
0.000 3.867 0.000
1.934 1.934 8.533
Pb Mg Au
2 1 2
Cartesian
1.934 1.934 1.835
3.867 3.867 6.698
0.000 0.000 0.000
3.867 1.934 4.267
1.934 3.867 4.267
```

## Properties
E, eV/cell: -15.43
Polymorph energy (0 for the lowest one), meV per atom: 192.4
DFT formation energy, eV/atom: 0.028

***

(9)
SrCr2S | PBE | optimized geometry

Geometry as POSCAR:
```
SrCr2S
1.0
-3.800 -2.026 -1.441
-0.092 -2.516 3.780
-6.502 3.582 4.955
Sr S Cr
2 2 4
Cartesian
0.000 0.000 0.000
-6.124 -0.357 2.341
-1.946 -2.271 1.169
-4.270 -0.602 4.952
-3.062 -0.179 1.171
-3.108 -1.436 3.060
-6.359 0.355 5.538
-8.259 -0.658 4.817
```

## Properties
E, eV/cell: -48.60
Raw formation energy, eV per atom: 0.189

***

(10)
NaTb2Ce | PBE | optimized geometry

Geometry as POSCAR:
```
NaTb2Ce
1.0
-1.310 3.104 0.830
-1.255 0.558 3.187
10.462 4.983 5.137
Na Tb Ce
1 2 1
Cartesian
0.000 0.000 0.000
7.309 3.935 4.079
0.588 4.710 5.074
3.948 4.323 4.577
```

## Properties
E, eV/cell: -15.80
Polymorph energy (0 for the lowest one), meV per atom: 31.4
DFT formation energy, eV/atom: 0.179

***

(11)
EuGdIr2 | PBE | optimized geometry

Geometry as POSCAR:
```
EuGdIr2
1.0
-3.810 -2.308 -2.093
-1.524 -4.334 1.766
-4.297 -0.314 2.380
Gd Eu Ir
1 1 2
Cartesian
-4.816 -3.478 1.027
0.000 0.000 0.000
-2.408 -1.739 0.513
-7.224 -5.217 1.540
```

## Properties
E, eV/cell: -43.83
DFT formation energy, eV/atom: -0.439

***

(12)
GaAgTe2N | PBE | optimized geometry

Geometry as POSCAR:
```
GaAgTe2N
1.0
-2.091 -4.736 -2.451
4.768 -0.482 -3.136
1.635 -2.182 2.822
Te Ga Ag N
2 1 1 1
Cartesian
2.384 -0.241 -1.568
-1.045 -2.368 -1.225
2.156 -3.700 -1.383
0.000 0.000 0.000
0.818 -1.091 1.411
```

## Properties
E, eV/cell: -15.65
Polymorph energy (0 for the lowest one), meV per atom: 344.9
Raw formation energy, eV per atom: 0.967

***

(13)
Sc5ReRu6 | PBE | optimized geometry

Geometry as POSCAR:
```
Sc5ReRu6
1.0
4.272 -0.026 1.424
0.034 6.374 0.011
0.003 -0.013 7.111
Sc Re Ru
5 1 6
Cartesian
2.867 3.161 5.695
1.420 -0.013 2.861
0.017 3.187 0.006
2.856 -0.026 5.673
1.442 3.174 2.851
0.000 0.000 0.000
3.617 4.797 3.474
3.600 1.526 3.468
2.144 1.484 0.714
2.162 4.864 0.721
0.710 4.810 5.078
0.692 1.539 5.072
```

## Properties
E, eV/cell: -105.80
DFT formation energy, eV/atom: -0.504

***

(14)
LaZn3Sn | PBE | optimized geometry

Geometry as POSCAR:
```
LaZn3Sn
1.0
5.115 0.000 0.000
0.000 5.115 0.000
0.000 0.000 5.115
Zn Sn La
3 1 1
Cartesian
0.000 2.557 0.000
0.000 0.000 2.557
2.557 0.000 0.000
0.000 0.000 0.000
2.557 2.557 2.557
```

## Properties
E, eV/cell: -11.62
Polymorph energy (0 for the lowest one), meV per atom: 0.0
DFT formation energy, eV/atom: 0.226

***

(15)
AlTlSbSe3 | PBE | optimized geometry

Geometry as POSCAR:
```
AlTlSbSe3
1.0
3.955 0.000 0.000
0.000 9.597 0.757
0.000 -1.770 10.297
Al Tl Sb Se
2 2 2 6
Cartesian
0.989 -0.469 6.367
2.967 8.297 4.687
0.989 1.652 1.625
2.967 6.176 9.429
0.989 6.214 1.876
2.967 1.614 9.178
2.967 8.728 2.403
0.989 -0.900 8.651
0.989 7.122 5.651
2.967 0.706 5.403
2.967 4.403 2.022
0.989 3.424 9.032
```

## Properties
E, eV/cell: -46.64
Raw formation energy, eV per atom: -0.439

***

(16)
Tl2ZnCdAg | PBE | optimized geometry

Geometry as POSCAR:
```
Tl2ZnCdAg
1.0
-0.179 3.045 -1.456
-0.588 -2.916 -1.632
-11.300 0.591 6.262
Tl Zn Ag Cd
2 1 1 1
Cartesian
-11.012 -0.697 4.055
-5.475 0.816 2.668
-1.950 0.669 -1.537
-3.346 1.789 0.500
-8.619 0.215 1.872
```

## Properties
E, eV/cell: -9.16
Polymorph energy (0 for the lowest one), meV per atom: 35.8
DFT formation energy, eV/atom: 0.122

***

(17)
Ba2BeMo | PBE | optimized geometry

Geometry as POSCAR:
```
Ba2BeMo
1.0
-1.898 -4.272 2.033
-2.188 -4.308 -1.623
6.202 -4.434 -0.448
Be Mo Ba
1 1 2
Cartesian
1.586 -9.760 -0.029
0.529 -3.253 -0.010
6.158 -4.460 -0.444
1.101 -6.480 -0.023
```

## Properties
E, eV/cell: -13.03
DFT formation energy, eV/atom: 1.344

***

(18)
PbI3F | PBE | optimized geometry

Geometry as POSCAR:
```
PbI3F
1.0
5.425 0.000 0.000
0.000 5.425 0.000
0.000 0.000 5.425
Pb I F
1 3 1
Cartesian
2.713 2.713 2.713
0.000 2.713 0.000
0.000 0.000 2.713
2.713 0.000 0.000
0.000 0.000 0.000
```

## Properties
E, eV/cell: -10.67
Polymorph energy (0 for the lowest one), meV per atom: 0.0
Raw formation energy, eV per atom: -0.088

***

(19)
LaDy2 | PBE | optimized geometry

Geometry as POSCAR:
```
LaDy2
1.0
-3.569 -0.585 0.236
0.588 -3.577 0.029
1.971 2.221 7.480
La Dy
1 2
Cartesian
0.000 0.000 0.000
-1.328 -2.033 2.718
0.317 0.093 5.027
```

## Properties
E, eV/cell: -14.04
Polymorph energy (0 for the lowest one), meV per atom: 32.9
DFT formation energy, eV/atom: 0.030

***

(20)
Y3Zr | PBE | optimized geometry

Geometry as POSCAR:
```
Y3Zr
1.0
1.810 10.098 1.655
-3.859 8.176 5.123
2.974 -9.936 -0.645
Y Zr
6 2
Cartesian
2.392 0.081 0.505
-0.255 2.271 0.842
-1.795 16.002 5.935
1.879 4.649 2.199
-0.955 3.688 3.933
-0.443 -0.880 2.239
-0.766 6.833 2.534
-1.283 11.441 4.243
```

## Properties
E, eV/cell: -55.07
Polymorph energy (0 for the lowest one), meV per atom: 30.4
DFT formation energy, eV/atom: 0.101

***

(21)
Ca4CdRe | PBE | optimized geometry

Geometry as POSCAR:
```
Ca4CdRe
1.0
0.700 3.628 5.013
-1.227 6.094 -0.371
-5.004 2.349 2.867
Ca Cd Re
4 1 1
Cartesian
-1.715 6.343 5.337
-4.594 5.698 4.254
-2.687 7.588 2.619
-2.068 4.512 2.807
-4.149 9.053 5.631
0.000 0.000 0.000
```

## Properties
E, eV/cell: -15.23
DFT formation energy, eV/atom: 1.023

***

(22)
Y6As2PdSe3 | PBE | optimized geometry

Geometry as POSCAR:
```
Y6As2PdSe3
1.0
4.084 0.000 0.000
0.000 8.267 0.264
-2.042 -2.416 8.661
Y As Pd Se
6 2 1 3
Cartesian
0.000 5.915 6.032
2.042 3.946 3.094
2.042 -0.064 2.893
0.000 2.008 0.088
2.042 3.843 8.837
0.000 1.905 5.831
2.042 3.902 5.961
0.000 1.949 2.964
2.042 0.000 0.000
2.042 4.133 0.132
2.042 -0.214 5.787
0.000 6.065 3.138
```

## Properties
E, eV/cell: -82.45
Raw formation energy, eV per atom: -1.560

***

(23)
FeCu2SnH | PBE | optimized geometry

Geometry as POSCAR:
```
FeCu2SnH
1.0
3.873 0.000 0.000
0.000 3.873 0.000
0.000 0.000 3.910
H Sn Cu Fe
1 1 2 1
Cartesian
0.000 0.000 0.000
1.936 1.936 1.955
0.000 1.936 0.000
1.936 0.000 0.000
0.000 0.000 1.955
```

## Properties
E, eV/cell: -23.28

***

(24)
PdPb2F2 | PBE | optimized geometry

Geometry as POSCAR:
```
PdPb2F2
1.0
7.596 0.000 0.000
0.000 7.596 0.000
0.000 0.000 3.161
Pb Pd F
4 2 4
Cartesian
1.519 5.317 1.581
5.317 6.077 1.581
6.077 2.279 1.581
2.279 1.519 1.581
0.000 0.000 0.000
3.798 3.798 0.000
2.899 6.697 0.000
6.697 4.697 0.000
4.697 0.899 0.000
0.899 2.899 0.000
```

## Properties
E, eV/cell: -44.11
Polymorph energy (0 for the lowest one), meV per atom: 0.0
Raw formation energy, eV per atom: -1.141

***

(25)
KCeHg4 | PBE | optimized geometry

Geometry as POSCAR:
```
KCeHg4
1.0
-2.133 2.114 -1.520
-3.254 -0.311 4.133
4.265 7.104 3.893
K Ce Hg
1 1 4
Cartesian
-0.561 4.453 3.253
-1.066 1.057 -0.760
0.723 6.865 1.087
-0.178 7.915 3.816
1.409 2.353 1.287
-0.944 0.992 2.691
```

## Properties
E, eV/cell: -9.73
DFT formation energy, eV/atom: -0.249

***

Number 1: total magnetic moment 2.5 Bohr magnetons per cell. Number 2: total magnetic moment 0.0 Bohr magnetons per cell. Number 3: total magnetic moment 0.0 Bohr magnetons per cell. Number 4: total magnetic moment 0.0 Bohr magnetons per cell. Number 5: total magnetic moment 0.0 Bohr magnetons per cell. Number 6: total magnetic moment 1.3 Bohr magnetons per cell. Number 7: total magnetic moment 3.0 Bohr magnetons per cell. Number 8: total magnetic moment 0.0 Bohr magnetons per cell. Number 9: total magnetic moment 8.0 Bohr magnetons per cell. Number 10: total magnetic moment 0.3 Bohr magnetons per cell. Number 11: total magnetic moment 0.4 Bohr magnetons per cell. Number 12: total magnetic moment 1.5 Bohr magnetons per cell. Number 13: total magnetic moment 0.0 Bohr magnetons per cell. Number 14: total magnetic moment 0.0 Bohr magnetons per cell. Number 15: total magnetic moment 0.0 Bohr magnetons per cell. Number 16: total magnetic moment 0.0 Bohr magnetons per cell. Number 17: total magnetic moment 2.6 Bohr magnetons per cell. Number 18: total magnetic moment 1.1 Bohr magnetons per cell. Number 19: total magnetic moment 0.0 Bohr magnetons per cell. Number 20: total magnetic moment 0.0 Bohr magnetons per cell. Number 21: total magnetic moment 2.5 Bohr magnetons per cell. Number 22: total magnetic moment 0.0 Bohr magnetons per cell. Number 23: total magnetic moment 2.0 Bohr magnetons per cell. Number 24: total magnetic moment 0.0 Bohr magnetons per cell. Number 25: total magnetic moment 1.3 Bohr magnetons per cell.